Material: MgBiTe
Method: DFT, PBE-GGA
State: optimized geometry

Geometry as extended XYZ:
```
6
Lattice="4.1290 0.0000 0.0000 -2.0645 3.6667 0.0000 0.0000 0.0000 12.0525" Properties=species:S:1:pos:R:3 pbc="T T T"
Bi 2.0645 2.4523 0.0000
Bi 2.0645 3.3083 6.0263
Mg 2.0645 0.9542 3.9543
Mg 2.0645 0.9542 8.0982
Te 0.0000 2.2764 9.6923
Te 0.0000 2.2764 2.3602
```

The crystal system is orthorhombic. The space-group type is No. 38. Its uncorrected energy is -3.130 eV/atom. Its density of states at the Fermi level is 0.46 states/eV/atom.